1.
The following is a PBE calculation of Tb2SiPt after structural relaxation, from OQMD via LeMat-Bulk.

Results
ρ (g/cm3): 9.91
DFT total energy (eV/atom): -6.156

Geometry as CIF:
```
data_Tb2SiPt
_cell_length_a 5.739
_cell_length_b 3.979
_cell_length_c 7.947
_cell_angle_alpha 90.00
_cell_angle_beta 91.94
_cell_angle_gamma 90.00
_space_group_name_H-M_alt 'P 1 21/m 1'
_space_group_IT_number 11
loop_
_space_group_symop_operation_xyz
'x,y,z'
'-x,-y,-z'
'-x,y+1/2,-z'
'x,-y+1/2,z'
loop_
_atom_site_label
_atom_site_type_symbol
_atom_site_fract_x
_atom_site_fract_y
_atom_site_fract_z
_atom_site_occupancy
Tb1 Tb 0.123 0.250 0.328 1
Tb2 Tb 0.374 0.250 0.812 1
Si1 Si 0.125 0.750 0.038 1
Pt1 Pt 0.345 0.750 0.547 1
```

=====

2.
The following is a PBE calculation of MgZn2In2 after structural relaxation, from OQMD via LeMat-Bulk.

Results
ρ (g/cm3): 5.73
DFT total energy (eV/atom): -1.825
Energy relative to the lowest polymorph listed for this composition (eV/atom): 0.0000

Geometry as CIF:
```
data_MgZn2In2
_cell_length_a 4.251
_cell_length_b 4.251
_cell_length_c 12.349
_cell_angle_alpha 90.00
_cell_angle_beta 90.00
_cell_angle_gamma 90.00
_space_group_name_H-M_alt 'I 4/m m m'
_space_group_IT_number 139
_space_group_name_Hall '-I 4 2'
loop_
_atom_site_label
_atom_site_type_symbol
_atom_site_fract_x
_atom_site_fract_y
_atom_site_fract_z
_atom_site_occupancy
Mg1 Mg 0.000 0.000 0.000 1
Zn1 Zn 0.000 0.000 0.403 1
In1 In 0.000 0.500 0.250 1
```

=====

3.
The following is a PBE calculation of BeAl2Mo after structural relaxation, from OQMD via LeMat-Bulk.

Results
ρ (g/cm3): 4.81
DFT total energy (eV/atom): -5.303

Geometry as CIF:
```
data_BeAl2Mo
_cell_length_a 6.032
_cell_length_b 6.032
_cell_length_c 6.032
_cell_angle_alpha 90.00
_cell_angle_beta 90.00
_cell_angle_gamma 90.00
_space_group_name_H-M_alt 'F -4 3 m'
_space_group_IT_number 216
_space_group_name_Hall 'F -4 2 3'
loop_
_atom_site_label
_atom_site_type_symbol
_atom_site_fract_x
_atom_site_fract_y
_atom_site_fract_z
_atom_site_occupancy
Be1 Be 0.000 0.000 0.000 1
Al1 Al 0.000 0.000 0.500 1
Al2 Al 0.250 0.250 0.750 1
Mo1 Mo 0.250 0.250 0.250 1
```

=====

4.
The following is a PBE calculation of RbZrTe4Au3 after structural relaxation, from OQMD via LeMat-Bulk.

Results
ρ (g/cm3): 7.54
DFT total energy (eV/atom): -4.045
Energy relative to the lowest polymorph listed for this composition (eV/atom): 0.0000

Geometry as CIF:
```
data_RbZrTe4Au3
_cell_length_a 6.598
_cell_length_b 8.230
_cell_length_c 10.774
_cell_angle_alpha 90.00
_cell_angle_beta 105.92
_cell_angle_gamma 90.00
_space_group_name_H-M_alt 'P 1 21/m 1'
_space_group_IT_number 11
loop_
_space_group_symop_operation_xyz
'x,y,z'
'-x,-y,-z'
'-x,y+1/2,-z'
'x,-y+1/2,z'
loop_
_atom_site_label
_atom_site_type_symbol
_atom_site_fract_x
_atom_site_fract_y
_atom_site_fract_z
_atom_site_occupancy
Rb1 Rb 0.199 0.250 0.394 1
Zr1 Zr 0.359 0.750 0.208 1
Te1 Te 0.044 0.750 0.970 1
Te2 Te 0.200 0.750 0.417 1
Te3 Te 0.375 0.522 0.752 1
Au1 Au 0.137 0.250 0.802 1
Au2 Au 0.306 0.046 0.024 1
```

=====

5.
The following is a PBE calculation of CsLiTa after structural relaxation, from OQMD via LeMat-Bulk.

Results
ρ (g/cm3): 3.87
DFT total energy (eV/atom): -2.495
Energy relative to the lowest polymorph listed for this composition (eV/atom): 0.2901

Geometry as CIF:
```
data_CsLiTa
_cell_length_a 8.195
_cell_length_b 8.195
_cell_length_c 8.195
_cell_angle_alpha 90.00
_cell_angle_beta 90.00
_cell_angle_gamma 90.00
_space_group_name_H-M_alt 'F -4 3 m'
_space_group_IT_number 216
_space_group_name_Hall 'F -4 2 3'
loop_
_atom_site_label
_atom_site_type_symbol
_atom_site_fract_x
_atom_site_fract_y
_atom_site_fract_z
_atom_site_occupancy
Cs1 Cs 0.000 0.000 0.000 1
Li1 Li 0.250 0.250 0.750 1
Ta1 Ta 0.250 0.250 0.250 1
```

=====

6.
The following is a PBE calculation of SrAsPdO after structural relaxation, from OQMD via LeMat-Bulk.

Results
ρ (g/cm3): 6.40
DFT total energy (eV/atom): -5.208
Energy relative to the lowest polymorph listed for this composition (eV/atom): 0.2113

Geometry as CIF:
```
data_SrAsPdO
_cell_length_a 4.543
_cell_length_b 4.349
_cell_length_c 7.487
_cell_angle_alpha 90.00
_cell_angle_beta 90.00
_cell_angle_gamma 90.00
_space_group_name_H-M_alt 'P m c 21'
_space_group_IT_number 26
loop_
_space_group_symop_operation_xyz
'x,y,z'
'-x,-y,z+1/2'
'-x,y,z'
'x,-y,z+1/2'
loop_
_atom_site_label
_atom_site_type_symbol
_atom_site_fract_x
_atom_site_fract_y
_atom_site_fract_z
_atom_site_occupancy
Sr1 Sr 0.000 0.249 0.000 1
As1 As 0.500 0.249 0.668 1
Pd1 Pd 0.500 0.251 0.334 1
O1 O 0.000 0.251 0.334 1
```